No. 1
This record from the Alexandria database describes an optimized crystal structure of NaSiSn. The functional is GGA-PBE.

Computed properties:
crystal system: monoclinic
energy relative to the elements, uncorrected: 0.030 eV/atom

a = 6.1771 Å, b = 3.9009 Å, c = 7.3068 Å
α = 90.00°, β = 103.35°, γ = 90.00°
Element x y z (fractional)
Na: 0.0914 0.2500 0.2422
Na: 0.9086 0.7500 0.7578
Si: 0.4942 0.2500 0.5837
Si: 0.5058 0.7500 0.4163
Sn: 0.3426 0.2500 0.8921
Sn: 0.6574 0.7500 0.1079


No. 2
This record from the Alexandria database describes an optimized crystal structure of CeBr2Cl8. The functional is GGA-PBE.

Computed properties:
crystal system: triclinic
energy relative to the elements, uncorrected: -0.805 eV/atom

a = 4.1763 Å, b = 8.6038 Å, c = 11.2916 Å
α = 80.29°, β = 86.25°, γ = 89.66°
Element x y z (fractional)
Ce: 0.0000 0.0000 0.0000
Br: 0.3177 0.3630 0.3558
Br: 0.6823 0.6370 0.6442
Cl: 0.0315 0.5443 0.7932
Cl: 0.0406 0.0418 0.7740
Cl: 0.3360 0.7305 0.4965
Cl: 0.4983 0.2056 0.9955
Cl: 0.5017 0.7944 0.0045
Cl: 0.6640 0.2695 0.5035
Cl: 0.9594 0.9582 0.2260
Cl: 0.9685 0.4557 0.2068


No. 3
This record from the Alexandria database describes an optimized crystal structure of Te2PdRhN. The functional is GGA-PBE.

Computed properties:
crystal system: tetragonal
energy relative to the elements, uncorrected: 0.405 eV/atom

a = 5.4279 Å, b = 5.4279 Å, c = 3.5909 Å
α = 90.00°, β = 90.00°, γ = 90.00°
Element x y z (fractional)
Te: 0.0000 0.5000 0.0000
Te: 0.5000 0.0000 0.0000
Pd: 0.0000 0.0000 0.5000
Rh: 0.5000 0.5000 0.0000
N: 0.5000 0.5000 0.5000


No. 4
This record from the Alexandria database describes an optimized crystal structure of CaPm2AgSe4. The functional is GGA-PBE.

Computed properties:
crystal system: monoclinic
energy relative to the elements, uncorrected: -1.528 eV/atom

a = 7.2135 Å, b = 4.1939 Å, c = 7.3241 Å
α = 90.00°, β = 110.02°, γ = 90.00°
Element x y z (fractional)
Ca: 0.0000 0.0000 0.0000
Pm: 0.0000 0.5000 0.5000
Pm: 0.5000 0.0000 0.5000
Ag: 0.5000 0.5000 0.0000
Se: 0.2480 0.5000 0.2491
Se: 0.2537 0.0000 0.7528
Se: 0.7462 0.0000 0.2472
Se: 0.7520 0.5000 0.7509


No. 5
This record from the Alexandria database describes an optimized crystal structure of NbH2Au. The functional is GGA-PBE.

Computed properties:
crystal system: cubic
final energy: -18.306 eV per formula unit

a = 5.5611 Å, b = 5.5611 Å, c = 5.5611 Å
α = 90.00°, β = 90.00°, γ = 90.00°
Element x y z (fractional)
Nb: 0.0000 0.0000 0.0000
Nb: 0.0000 0.5000 0.5000
Nb: 0.5000 0.0000 0.5000
Nb: 0.5000 0.5000 0.0000
H: 0.2500 0.2500 0.2500
H: 0.2500 0.2500 0.7500
H: 0.2500 0.7500 0.2500
H: 0.2500 0.7500 0.7500
H: 0.7500 0.2500 0.2500
H: 0.7500 0.2500 0.7500
H: 0.7500 0.7500 0.2500
H: 0.7500 0.7500 0.7500
Au: 0.0000 0.0000 0.5000
Au: 0.0000 0.5000 0.0000
Au: 0.5000 0.0000 0.0000
Au: 0.5000 0.5000 0.5000


No. 6
This record from the Alexandria database describes an optimized crystal structure of Zn2Cr2As. The functional is GGA-PBE.

Computed properties:
crystal system: tetragonal
ΔH_f (0 K): 0.60 eV per formula unit

a = 5.9716 Å, b = 5.9716 Å, c = 4.1182 Å
α = 90.00°, β = 90.00°, γ = 90.00°
Element x y z (fractional)
Zn: 0.1599 0.3401 0.0000
Zn: 0.3401 0.8401 0.0000
Zn: 0.6599 0.1599 0.0000
Zn: 0.8401 0.6599 0.0000
Cr: 0.1296 0.6296 0.5000
Cr: 0.3704 0.1296 0.5000
Cr: 0.6296 0.8704 0.5000
Cr: 0.8704 0.3704 0.5000
As: 0.0000 0.0000 0.5000
As: 0.5000 0.5000 0.5000


No. 7
This record from the Alexandria database describes an optimized crystal structure of BeHAu. The functional is GGA-PBE.

Computed properties:
crystal system: monoclinic
final energy: -10.173 eV per formula unit

a = 10.1433 Å, b = 2.9482 Å, c = 5.1579 Å
α = 90.00°, β = 102.49°, γ = 90.00°
Element x y z (fractional)
Be: 0.0000 0.0000 0.0000
Be: 0.1227 0.5000 0.8199
Be: 0.5000 0.5000 0.0000
Be: 0.6227 0.0000 0.8199
H: 0.0386 0.0000 0.7413
H: 0.2162 0.5000 0.6371
H: 0.5386 0.5000 0.7413
H: 0.7162 0.0000 0.6371
Au: 0.1353 0.5000 0.2970
Au: 0.3351 0.0000 0.0857
Au: 0.6353 0.0000 0.2970
Au: 0.8351 0.5000 0.0857


No. 8
This record from the Alexandria database describes an optimized crystal structure of Cs5Eu. The functional is GGA-PBE.

Computed properties:
crystal system: orthorhombic
ΔH_f (0 K): 0.89 eV per formula unit

a = 8.3751 Å, b = 25.3310 Å, c = 5.5581 Å
α = 90.00°, β = 90.00°, γ = 90.00°
Element x y z (fractional)
Cs: 0.0000 0.0000 0.0000
Cs: 0.0000 0.1675 0.5000
Cs: 0.0000 0.3468 0.0000
Cs: 0.0000 0.6532 0.0000
Cs: 0.0000 0.8325 0.5000
Cs: 0.5000 0.1532 0.0000
Cs: 0.5000 0.3325 0.5000
Cs: 0.5000 0.5000 0.0000
Cs: 0.5000 0.6675 0.5000
Cs: 0.5000 0.8468 0.0000
Eu: 0.0000 0.5000 0.5000
Eu: 0.5000 0.0000 0.5000


No. 9
This record from the Alexandria database describes an optimized crystal structure of BaMnFe2Cl8. The functional is GGA-PBE.

Computed properties:
crystal system: trigonal
energy relative to the elements, uncorrected: -1.060 eV/atom

a = 6.2425 Å, b = 6.2425 Å, c = 8.5309 Å
α = 90.00°, β = 90.00°, γ = 120.00°
Element x y z (fractional)
Ba: 0.0000 0.0000 0.0000
Mn: 0.0000 0.0000 0.5000
Fe: 0.3333 0.6667 0.7244
Fe: 0.6667 0.3333 0.2756
Cl: 0.0078 0.7047 0.3364
Cl: 0.2953 0.3031 0.3364
Cl: 0.3031 0.0078 0.6636
Cl: 0.3333 0.6667 0.9927
Cl: 0.6667 0.3333 0.0073
Cl: 0.6969 0.9922 0.3364
Cl: 0.7047 0.6969 0.6636
Cl: 0.9922 0.2953 0.6636


No. 10
This record from the Alexandria database describes an optimized crystal structure of CaTi2O6. The functional is GGA-PBE.

Computed properties:
crystal system: monoclinic
energy relative to the elements, uncorrected: -2.510 eV/atom

a = 7.3006 Å, b = 7.3006 Å, c = 4.9859 Å
α = 109.49°, β = 109.49°, γ = 79.15°
Element x y z (fractional)
Ca: 0.2486 0.7514 0.7500
Ca: 0.7514 0.2486 0.2500
Ti: 0.1593 0.3534 0.0172
Ti: 0.3534 0.1593 0.5172
Ti: 0.6466 0.8407 0.4828
Ti: 0.8407 0.6466 0.9828
O: 0.0820 0.2237 0.5592
O: 0.1110 0.6122 0.9927
O: 0.2237 0.0820 0.0592
O: 0.2743 0.4191 0.4494
O: 0.3878 0.8890 0.5073
O: 0.4191 0.2743 0.9494
O: 0.5809 0.7257 0.0506
O: 0.6122 0.1110 0.4927
O: 0.7257 0.5809 0.5506
O: 0.7763 0.9180 0.9408
O: 0.8890 0.3878 0.0073
O: 0.9180 0.7763 0.4408


No. 11
This record from the Alexandria database describes an optimized crystal structure of HoU2RuC4. The functional is GGA-PBE.

Computed properties:
crystal system: orthorhombic
ΔH_f (0 K): -0.36 eV per formula unit

a = 6.0622 Å, b = 6.0622 Å, c = 11.4583 Å
α = 90.00°, β = 90.00°, γ = 146.48°
Element x y z (fractional)
Ho: 0.1114 0.8886 0.7500
Ho: 0.8886 0.1114 0.2500
U: 0.3704 0.6296 0.5491
U: 0.3704 0.6296 0.9509
U: 0.6296 0.3704 0.0491
U: 0.6296 0.3704 0.4509
Ru: 0.1500 0.8500 0.2500
Ru: 0.8500 0.1500 0.7500
C: 0.0000 0.0000 0.0000
C: 0.0000 0.0000 0.5000
C: 0.2649 0.7351 0.1169
C: 0.2649 0.7351 0.3831
C: 0.4528 0.5472 0.7500
C: 0.5472 0.4528 0.2500
C: 0.7351 0.2649 0.6169
C: 0.7351 0.2649 0.8831


No. 12
This record from the Alexandria database describes an optimized crystal structure of MnSnRuS. The functional is GGA-PBE.

Computed properties:
crystal system: monoclinic
energy relative to the elements, uncorrected: 0.029 eV/atom

a = 6.7420 Å, b = 2.9480 Å, c = 6.8265 Å
α = 90.00°, β = 108.75°, γ = 90.00°
Element x y z (fractional)
Mn: 0.0000 0.0000 0.0000
Mn: 0.5000 0.5000 0.0000
Sn: 0.1728 0.5000 0.3518
Sn: 0.6728 0.0000 0.3518
Ru: 0.4728 0.0000 0.6640
Ru: 0.9728 0.5000 0.6640
S: 0.2463 0.0000 0.8636
S: 0.7463 0.5000 0.8636


| no. | M_tot (μB/cell) |
| --- | --- |
| 1 | 0.000 |
| 2 | 0.000 |
| 3 | 0.004 |
| 4 | 0.000 |
| 5 | 0.000 |
| 6 | 1.482 |
| 7 | 0.000 |
| 8 | 15.386 |
| 9 | 8.983 |
| 10 | 4.028 |
| 11 | 0.001 |
| 12 | 0.001 |